# 1
VASP calculation (PBE-GGA) on PuCuPbS4 after structural relaxation.

Lattice parameters (Å, degrees): 6.7830 5.4782 8.4108 90.00 107.34 90.00
Element x y z (fractional)
Pu 0.7380 0.7500 0.4423
Pu 0.2620 0.2500 0.5577
Cu 0.2433 0.7500 0.3194
Cu 0.7567 0.2500 0.6806
Pb 0.7162 0.7500 0.9473
Pb 0.2838 0.2500 0.0527
S 0.0223 0.5163 0.7233
S 0.9777 0.0163 0.2767
S 0.9777 0.4837 0.2767
S 0.0223 0.9837 0.7233
S 0.4362 0.7500 0.1362
S 0.5638 0.2500 0.8638
S 0.4265 0.7500 0.5927
S 0.5735 0.2500 0.4073

Values from the calculation:
- energy relative to the elements, uncorrected (meV per atom) = -779
- DOS(E_F) (states/eV per atom) = 1.20

=====

# 2
VASP calculation (PBE-GGA) on InGaO2 after structural relaxation.

Lattice parameters (Å, degrees): 6.7904 6.7904 6.7904 25.55 25.55 25.55
Element x y z (fractional)
O 0.8852 0.8852 0.8852
O 0.1148 0.1148 0.1148
Ga 0.5000 0.5000 0.5000
In 0.0000 0.0000 0.0000

Values from the calculation:
- energy relative to the elements, uncorrected (meV per atom) = -1413
- DOS(E_F) (states/eV per atom) = 0.00

=====

# 3
VASP calculation (PBE-GGA) on TbSm5Y2Er after structural relaxation.

Lattice parameters (Å, degrees): 5.6489 10.4953 10.6547 90.00 90.00 105.61
Element x y z (fractional)
Tb 0.7993 0.5986 0.5096
Tb 0.2007 0.4014 0.0096
Sm 0.3906 0.7812 0.0231
Sm 0.7184 0.4367 0.8091
Sm 0.4806 0.9612 0.7424
Sm 0.2981 0.5962 0.7052
Sm 0.9820 0.9640 0.5212
Sm 0.6094 0.2188 0.5231
Sm 0.2816 0.5633 0.3091
Sm 0.5194 0.0388 0.2424
Sm 0.7019 0.4038 0.2052
Sm 0.0180 0.0360 0.0212
Y 0.8846 0.7692 0.8164
Y 0.1108 0.2217 0.7366
Y 0.1154 0.2308 0.3164
Y 0.8892 0.7783 0.2366
Er 0.5898 0.1797 0.9604
Er 0.4102 0.8203 0.4604

Values from the calculation:
- formation energy (kJ per mole of atoms) = 14
- DOS(E_F) (states/eV per atom) = 1.65

=====

# 4
VASP calculation (PBE-GGA) on MnCu2W after structural relaxation.

Lattice parameters (Å, degrees): 4.1980 4.1980 4.1980 60.00 60.00 60.00
Element x y z (fractional)
Cu 0.0000 0.0000 0.0000
Cu 0.2500 0.2500 0.2500
Mn 0.5000 0.5000 0.5000
W 0.7500 0.7500 0.7500

Values from the calculation:
- energy above the lowest structure with this stoichiometry (meV/atom) = 162
- formation energy (kJ per mole of atoms) = 37
- DOS(E_F) (states/eV per atom) = 0.81

=====

# 5
VASP calculation (PBE-GGA) on Rb5SnTe4 after structural relaxation.

Lattice parameters (Å, degrees): 8.7243 11.4541 10.9580 90.00 90.00 90.00
Element x y z (fractional)
Rb 0.7393 0.1989 0.2415
Rb 0.7393 0.1989 0.7585
Rb 0.1585 0.0000 0.5000
Rb 0.7393 0.8011 0.2415
Rb 0.7393 0.8011 0.7585
Rb 0.2607 0.6989 0.2585
Rb 0.2607 0.6989 0.7415
Rb 0.8415 0.5000 0.0000
Rb 0.2607 0.3011 0.7415
Rb 0.2607 0.3011 0.2585
Sn 0.2193 0.0000 0.0000
Sn 0.7807 0.5000 0.5000
Te 0.0290 0.2150 0.0000
Te 0.4042 0.0000 0.2276
Te 0.4042 0.0000 0.7724
Te 0.0290 0.7850 0.0000
Te 0.9710 0.7150 0.5000
Te 0.5958 0.5000 0.2724
Te 0.5958 0.5000 0.7276
Te 0.9710 0.2850 0.5000

Values from the calculation:
- energy relative to the elements, uncorrected (meV per atom) = -817
- energy above the lowest structure with this stoichiometry (meV/atom) = 0
- DOS(E_F) (states/eV per atom) = 0.56

=====

# 6
VASP calculation (PBE-GGA) on CaTlAs2 after structural relaxation.

Lattice parameters (Å, degrees): 7.7163 7.7163 6.5040 53.62 53.62 90.00
Element x y z (fractional)
Tl 0.0000 0.0000 0.0000
Tl 0.7500 0.2500 0.5000
Ca 0.5000 0.5000 0.0000
Ca 0.2500 0.7500 0.5000
As 0.6499 0.1250 0.2500
As 0.1001 0.6250 0.2500
As 0.3750 0.3501 0.7500
As 0.8750 0.8999 0.7500

Values from the calculation:
- energy above the lowest structure with this stoichiometry (meV/atom) = 252
- formation energy (kJ per mole of atoms) = -24
- DOS(E_F) (states/eV per atom) = 0.56

=====

# 7
VASP calculation (PBE-GGA) on K5Pd2F12 after structural relaxation.

Lattice parameters (Å, degrees): 6.8128 7.5786 7.8707 98.71 90.00 116.71
Element x y z (fractional)
K 0.3009 0.6018 0.6475
K 0.2926 0.5852 0.1910
K 0.0000 0.0000 0.5000
K 0.7074 0.4148 0.8090
K 0.6991 0.3982 0.3525
Pd 0.7501 0.0000 0.0000
Pd 0.2499 0.0000 0.0000
F 0.9958 0.9916 0.1525
F 0.1090 0.7085 0.9418
F 0.5995 0.7085 0.9418
F 0.0926 0.6950 0.4292
F 0.6023 0.6950 0.4292
F 0.5045 0.0089 0.8451
F 0.4955 0.9911 0.1549
F 0.9074 0.3050 0.5708
F 0.3977 0.3050 0.5708
F 0.8910 0.2915 0.0582
F 0.4005 0.2915 0.0582
F 0.0042 0.0084 0.8475

Values from the calculation:
- energy relative to the elements, uncorrected (meV per atom) = -2030
- DOS(E_F) (states/eV per atom) = 0.61

=====

# 8
VASP calculation (PBE-GGA) on ScBeTl2F6 after structural relaxation.

Lattice parameters (Å, degrees): 5.2031 5.2031 7.8219 70.27 70.28 90.00
Element x y z (fractional)
Sc 0.0000 0.0000 0.0000
Be 0.5000 0.5000 0.0000
Tl 0.7501 0.2499 0.5000
Tl 0.2499 0.7501 0.5000
F 0.1441 0.1441 0.7096
F 0.7196 0.7196 0.0039
F 0.2784 0.7215 0.0001
F 0.7216 0.2785 0.9999
F 0.2804 0.2804 0.9961
F 0.8559 0.8559 0.2904

Values from the calculation:
- energy relative to the elements, uncorrected (meV per atom) = -2688
- DOS(E_F) (states/eV per atom) = 0.31

=====

DOS(E_F) of number 1 (PuCuPbS4)? 1.20 states/eV per atom